No. 1
A crystal of FeTe2Se relaxed with PBEsol. Source: Alexandria, functional meta-GGA SCAN.

Summary:
- formation energy without anion corrections (meV/atom) = 177

a = 4.944 Å, b = 4.944 Å, c = 4.944 Å
α = 111.15°, β = 111.15°, γ = 106.17°
Element x y z (fractional)
Fe: 0.000 0.000 0.000
Te: 0.000 0.500 0.500
Te: 0.500 0.000 0.500
Se: 0.500 0.500 0.000

***

No. 2
A crystal of Fe3TeSe relaxed with PBEsol. Source: Alexandria, functional meta-GGA SCAN.

Summary:
- formation energy without anion corrections (meV/atom) = 614

a = 4.432 Å, b = 4.432 Å, c = 4.432 Å
α = 90.00°, β = 90.00°, γ = 90.00°
Element x y z (fractional)
Fe: 0.000 0.000 0.500
Fe: 0.000 0.500 0.000
Fe: 0.500 0.000 0.000
Te: 0.500 0.500 0.500
Se: 0.000 0.000 0.000

***

No. 3
A crystal of Fe2TeSe relaxed with PBEsol. Source: Alexandria, functional meta-GGA SCAN.

Summary:
- formation energy without anion corrections (meV/atom) = 270

a = 5.885 Å, b = 5.885 Å, c = 5.885 Å
α = 36.28°, β = 36.28°, γ = 36.28°
Element x y z (fractional)
Fe: 0.222 0.222 0.222
Fe: 0.778 0.778 0.778
Te: 0.000 0.000 0.000
Se: 0.500 0.500 0.500

***

No. 4
A crystal of Fe2TeSe relaxed with PBEsol. Source: Alexandria, functional meta-GGA SCAN.

Summary:
- formation energy without anion corrections (meV/atom) = 181

a = 6.310 Å, b = 6.310 Å, c = 6.310 Å
α = 150.41°, β = 147.39°, γ = 44.61°
Element x y z (fractional)
Fe: 0.000 0.000 0.000
Fe: 0.810 0.310 0.500
Te: 0.614 0.614 0.000
Se: 0.360 0.860 0.500

***

No. 5
A crystal of Fe2TeSe relaxed with PBEsol. Source: Alexandria, functional meta-GGA SCAN.

Summary:
- formation energy without anion corrections (meV/atom) = -163

a = 3.536 Å, b = 3.536 Å, c = 5.980 Å
α = 90.00°, β = 90.00°, γ = 90.00°
Element x y z (fractional)
Fe: 0.000 0.500 0.000
Fe: 0.500 0.000 0.000
Te: 0.000 0.000 0.699
Se: 0.500 0.500 0.258

***

No. 6
A crystal of Ti3FeSe relaxed with PBEsol. Source: Alexandria, functional meta-GGA SCAN.

Summary:
- formation energy without anion corrections (meV/atom) = 278

a = 4.570 Å, b = 4.570 Å, c = 4.570 Å
α = 90.00°, β = 90.00°, γ = 90.00°
Element x y z (fractional)
Ti: 0.000 0.000 0.500
Ti: 0.000 0.500 0.000
Ti: 0.500 0.000 0.000
Fe: 0.500 0.500 0.500
Se: 0.000 0.000 0.000